Entry 1:
Compound: CrCoRu2
Source: Alexandria via LeMat-Bulk
Functional: PBEsol
Structure: relaxed

Properties
* symmetry: I-4m2 (119)
* total DFT energy (no corrections): -37.985 eV per cell
* calculated formation energy: 0.085 eV per atom
* ΔE to the lowest computed polymorph: 15 meV/atom

```
data_CrCoRu2
_cell_length_a 4.460
_cell_length_b 4.460
_cell_length_c 4.460
_cell_angle_alpha 132.08
_cell_angle_beta 132.08
_cell_angle_gamma 70.11
_space_group_name_H-M_alt 'P 1'
_space_group_IT_number 1
loop_
_space_group_symop_operation_xyz
'x,y,z'
loop_
_atom_site_label
_atom_site_type_symbol
_atom_site_fract_x
_atom_site_fract_y
_atom_site_fract_z
Cr1 Cr 0.000 0.000 0.000
Co1 Co 0.250 0.750 0.500
Ru1 Ru 0.500 0.500 0.000
Ru2 Ru 0.750 0.250 0.500
```

=====

Entry 2:
Compound: CrCo2Sb
Source: Alexandria via LeMat-Bulk
Functional: PBEsol
Structure: relaxed

Properties
* symmetry: I-42d (122)
* total DFT energy (no corrections): -55.836 eV per cell
* E_form (uncorrected): 0.59 eV per atom

```
data_CrCo2Sb
_cell_length_a 8.579
_cell_length_b 8.579
_cell_length_c 8.579
_cell_angle_alpha 154.62
_cell_angle_beta 154.62
_cell_angle_gamma 36.19
_space_group_name_H-M_alt 'P 1'
_space_group_IT_number 1
loop_
_space_group_symop_operation_xyz
'x,y,z'
loop_
_atom_site_label
_atom_site_type_symbol
_atom_site_fract_x
_atom_site_fract_y
_atom_site_fract_z
Cr1 Cr 0.000 0.000 0.000
Cr2 Cr 0.750 0.250 0.500
Co1 Co 0.084 0.625 0.959
Co2 Co 0.375 0.334 0.459
Co3 Co 0.666 0.125 0.041
Co4 Co 0.875 0.916 0.541
Sb1 Sb 0.250 0.750 0.500
Sb2 Sb 0.500 0.500 0.000
```

=====

Entry 3:
Compound: CrCoSb
Source: Alexandria via LeMat-Bulk
Functional: PBEsol
Structure: relaxed

Properties
* symmetry: P3m1 (156)
* total DFT energy (no corrections): -20.809 eV per cell
* E_form (uncorrected): 0.58 eV per atom

```
data_CrCoSb
_cell_length_a 2.998
_cell_length_b 2.998
_cell_length_c 5.781
_cell_angle_alpha 90.00
_cell_angle_beta 90.00
_cell_angle_gamma 120.00
_space_group_name_H-M_alt 'P 1'
_space_group_IT_number 1
loop_
_space_group_symop_operation_xyz
'x,y,z'
loop_
_atom_site_label
_atom_site_type_symbol
_atom_site_fract_x
_atom_site_fract_y
_atom_site_fract_z
Cr1 Cr 0.000 0.000 0.000
Co1 Co 0.667 0.333 0.275
Sb1 Sb 0.333 0.667 0.631
```

=====

Entry 4:
Compound: CrCo2Sb
Source: Alexandria via LeMat-Bulk
Functional: PBEsol
Structure: relaxed

Properties
* symmetry: I-4m2 (119)
* total DFT energy (no corrections): -29.743 eV per cell
* E_form (uncorrected): 0.13 eV per atom

```
data_CrCo2Sb
_cell_length_a 4.514
_cell_length_b 4.514
_cell_length_c 4.514
_cell_angle_alpha 131.35
_cell_angle_beta 131.35
_cell_angle_gamma 71.25
_space_group_name_H-M_alt 'P 1'
_space_group_IT_number 1
loop_
_space_group_symop_operation_xyz
'x,y,z'
loop_
_atom_site_label
_atom_site_type_symbol
_atom_site_fract_x
_atom_site_fract_y
_atom_site_fract_z
Cr1 Cr 0.000 0.000 0.000
Co1 Co 0.500 0.500 0.000
Co2 Co 0.750 0.250 0.500
Sb1 Sb 0.250 0.750 0.500
```

=====

Entry 5:
Compound: ScCrCo2
Source: Alexandria via LeMat-Bulk
Functional: PBEsol
Structure: relaxed

Properties
* symmetry: F-43m (216)
* total DFT energy (no corrections): -31.479 eV per cell
* calculated formation energy: 0.211 eV per atom
* ΔE to the lowest computed polymorph: 44 meV/atom

```
data_ScCrCo2
_cell_length_a 4.115
_cell_length_b 4.115
_cell_length_c 4.115
_cell_angle_alpha 60.00
_cell_angle_beta 60.00
_cell_angle_gamma 60.00
_space_group_name_H-M_alt 'P 1'
_space_group_IT_number 1
loop_
_space_group_symop_operation_xyz
'x,y,z'
loop_
_atom_site_label
_atom_site_type_symbol
_atom_site_fract_x
_atom_site_fract_y
_atom_site_fract_z
Sc1 Sc 0.000 0.000 0.000
Cr1 Cr 0.750 0.750 0.750
Co1 Co 0.250 0.250 0.250
Co2 Co 0.500 0.500 0.500
```

=====

Entry 6:
Compound: ScCrCo
Source: Alexandria via LeMat-Bulk
Functional: PBEsol
Structure: relaxed

Properties
* symmetry: P3m1 (156)
* total DFT energy (no corrections): -23.294 eV per cell
* calculated formation energy: 0.430 eV per atom
* ΔE to the lowest computed polymorph: 195 meV/atom

```
data_ScCrCo
_cell_length_a 2.815
_cell_length_b 2.815
_cell_length_c 6.050
_cell_angle_alpha 90.00
_cell_angle_beta 90.00
_cell_angle_gamma 120.00
_space_group_name_H-M_alt 'P 1'
_space_group_IT_number 1
loop_
_space_group_symop_operation_xyz
'x,y,z'
loop_
_atom_site_label
_atom_site_type_symbol
_atom_site_fract_x
_atom_site_fract_y
_atom_site_fract_z
Sc1 Sc 0.000 0.000 0.000
Cr1 Cr 0.667 0.333 0.367
Co1 Co 0.333 0.667 0.640
```

=====

Entry 7:
Compound: ScCrCo
Source: Alexandria via LeMat-Bulk
Functional: PBEsol
Structure: relaxed

Properties
* symmetry: F-43m (216)
* total DFT energy (no corrections): -21.451 eV per cell
* calculated formation energy: 1.044 eV per atom
* ΔE to the lowest computed polymorph: 809 meV/atom

```
data_ScCrCo
_cell_length_a 4.159
_cell_length_b 4.159
_cell_length_c 4.159
_cell_angle_alpha 60.00
_cell_angle_beta 60.00
_cell_angle_gamma 60.00
_space_group_name_H-M_alt 'P 1'
_space_group_IT_number 1
loop_
_space_group_symop_operation_xyz
'x,y,z'
loop_
_atom_site_label
_atom_site_type_symbol
_atom_site_fract_x
_atom_site_fract_y
_atom_site_fract_z
Sc1 Sc 0.000 0.000 0.000
Cr1 Cr 0.250 0.250 0.250
Co1 Co 0.750 0.750 0.750
```

=====

Entry 8:
Compound: Sc2CrCo
Source: Alexandria via LeMat-Bulk
Functional: PBEsol
Structure: relaxed

Properties
* symmetry: I-4m2 (119)
* total DFT energy (no corrections): -30.283 eV per cell
* calculated formation energy: 0.227 eV per atom

```
data_Sc2CrCo
_cell_length_a 5.292
_cell_length_b 5.292
_cell_length_c 5.292
_cell_angle_alpha 138.49
_cell_angle_beta 138.49
_cell_angle_gamma 60.16
_space_group_name_H-M_alt 'P 1'
_space_group_IT_number 1
loop_
_space_group_symop_operation_xyz
'x,y,z'
loop_
_atom_site_label
_atom_site_type_symbol
_atom_site_fract_x
_atom_site_fract_y
_atom_site_fract_z
Sc1 Sc 0.000 0.000 0.000
Sc2 Sc 0.750 0.250 0.500
Cr1 Cr 0.250 0.750 0.500
Co1 Co 0.500 0.500 0.000
```

=====

Entry 9:
Compound: ScCrCo2
Source: Alexandria via LeMat-Bulk
Functional: PBEsol
Structure: relaxed

Properties
* symmetry: P4mm (99)
* total DFT energy (no corrections): -31.657 eV per cell
* calculated formation energy: 0.166 eV per atom
* ΔE to the lowest computed polymorph: 0 meV/atom

```
data_ScCrCo2
_cell_length_a 2.931
_cell_length_b 2.931
_cell_length_c 5.994
_cell_angle_alpha 90.00
_cell_angle_beta 90.00
_cell_angle_gamma 90.00
_space_group_name_H-M_alt 'P 1'
_space_group_IT_number 1
loop_
_space_group_symop_operation_xyz
'x,y,z'
loop_
_atom_site_label
_atom_site_type_symbol
_atom_site_fract_x
_atom_site_fract_y
_atom_site_fract_z
Sc1 Sc 0.000 0.000 0.000
Cr1 Cr 0.500 0.500 0.683
Co1 Co 0.000 0.000 0.499
Co2 Co 0.500 0.500 0.275
```

=====

Entry 10:
Compound: ScCrCo
Source: Alexandria via LeMat-Bulk
Functional: PBEsol
Structure: relaxed

Properties
* symmetry: F-43m (216)
* total DFT energy (no corrections): -22.491 eV per cell
* calculated formation energy: 0.698 eV per atom
* ΔE to the lowest computed polymorph: 463 meV/atom

```
data_ScCrCo
_cell_length_a 3.990
_cell_length_b 3.990
_cell_length_c 3.990
_cell_angle_alpha 60.00
_cell_angle_beta 60.00
_cell_angle_gamma 60.00
_space_group_name_H-M_alt 'P 1'
_space_group_IT_number 1
loop_
_space_group_symop_operation_xyz
'x,y,z'
loop_
_atom_site_label
_atom_site_type_symbol
_atom_site_fract_x
_atom_site_fract_y
_atom_site_fract_z
Sc1 Sc 0.000 0.000 0.000
Cr1 Cr 0.250 0.250 0.250
Co1 Co 0.500 0.500 0.500
```

=====

Entry 11:
Compound: ScCr2Co
Source: Alexandria via LeMat-Bulk
Functional: PBEsol
Structure: relaxed

Properties
* symmetry: P4mm (99)
* total DFT energy (no corrections): -34.318 eV per cell
* calculated formation energy: 0.127 eV per atom
* ΔE to the lowest computed polymorph: 0 meV/atom

```
data_ScCr2Co
_cell_length_a 2.908
_cell_length_b 2.908
_cell_length_c 6.093
_cell_angle_alpha 90.00
_cell_angle_beta 90.00
_cell_angle_gamma 90.00
_space_group_name_H-M_alt 'P 1'
_space_group_IT_number 1
loop_
_space_group_symop_operation_xyz
'x,y,z'
loop_
_atom_site_label
_atom_site_type_symbol
_atom_site_fract_x
_atom_site_fract_y
_atom_site_fract_z
Sc1 Sc 0.000 0.000 0.000
Cr1 Cr 0.000 0.000 0.505
Cr2 Cr 0.500 0.500 0.698
Co1 Co 0.500 0.500 0.267
```

=====

Entry 12:
Compound: ScCrCo2
Source: Alexandria via LeMat-Bulk
Functional: PBEsol
Structure: relaxed

Properties
* symmetry: I-4m2 (119)
* total DFT energy (no corrections): -31.577 eV per cell
* calculated formation energy: 0.186 eV per atom
* ΔE to the lowest computed polymorph: 20 meV/atom

```
data_ScCrCo2
_cell_length_a 4.690
_cell_length_b 4.690
_cell_length_c 4.690
_cell_angle_alpha 135.75
_cell_angle_beta 135.75
_cell_angle_gamma 64.36
_space_group_name_H-M_alt 'P 1'
_space_group_IT_number 1
loop_
_space_group_symop_operation_xyz
'x,y,z'
loop_
_atom_site_label
_atom_site_type_symbol
_atom_site_fract_x
_atom_site_fract_y
_atom_site_fract_z
Sc1 Sc 0.000 0.000 0.000
Cr1 Cr 0.250 0.750 0.500
Co1 Co 0.500 0.500 0.000
Co2 Co 0.750 0.250 0.500
```

=====

Which of these has the highest total DFT energy (no corrections)?
CrCoSb